No. 1
Material: Bi3CI
Method: DFT, GGA-PBEsol
State: relaxed

Geometry as extended XYZ:
```
5
Lattice="5.079 0.000 0.000 0.000 5.079 0.000 0.000 0.000 5.079" Properties=species:S:1:pos:R:3 pbc="T T T"
C 0.000 0.000 0.000
Bi 2.540 0.000 0.000
I 2.540 2.540 2.540
Bi 0.000 0.000 2.540
Bi 0.000 2.540 0.000
```

Summary:
E_form (uncorrected) (eV per atom): 0.926
E (eV/atom): -3.927
Size of the total moment (μB/atom): 0.000

---

No. 2
Material: BaGa2Sb2
Method: DFT, GGA-PBEsol
State: relaxed

Geometry as extended XYZ:
```
5
Lattice="5.265 0.000 0.000 0.000 5.265 0.000 -2.632 -2.632 4.853" Properties=species:S:1:pos:R:3 pbc="T T T"
Ga 0.000 0.000 3.565
Ga 2.632 2.632 1.288
Ba 0.000 0.000 0.000
Sb 2.632 0.000 2.426
Sb 0.000 2.632 2.426
```

Summary:
E_form (uncorrected) (eV per atom): -0.458
E (eV/atom): -4.047
Size of the total moment (μB/atom): 0.000

---

No. 3
Material: NaCuTcMo2
Method: DFT, GGA-PBEsol
State: relaxed

Geometry as extended XYZ:
```
5
Lattice="4.551 0.000 0.000 0.000 4.551 0.000 0.000 0.000 5.100" Properties=species:S:1:pos:R:3 pbc="T T T"
Tc 0.000 0.000 0.000
Mo 2.276 0.000 0.000
Cu 2.276 2.276 2.550
Na 0.000 0.000 2.550
Mo 0.000 2.276 0.000
```

Summary:
E (eV/atom): -6.248
Size of the total moment (μB/atom): 0.008
E_form (meV per atom): 1859

---

No. 4
Material: AlRuSeN2
Method: DFT, GGA-PBEsol
State: relaxed

Geometry as extended XYZ:
```
5
Lattice="-2.850 -2.103 1.240 2.048 -3.097 -0.546 1.869 0.368 4.922" Properties=species:S:1:pos:R:3 pbc="T T T"
N -1.425 -1.051 0.620
Al 0.533 -2.416 2.808
N 1.024 -1.549 -0.273
Ru 0.000 0.000 0.000
Se 0.935 0.184 2.461
```

Summary:
E_form (uncorrected) (eV per atom): 0.506
E (eV/atom): -6.528
Size of the total moment (μB/atom): 0.000

---

No. 5
Material: OsRuPt2
Method: DFT, GGA-PBEsol
State: relaxed

Geometry as extended XYZ:
```
4
Lattice="-0.260 -0.064 -2.704 -1.739 -3.399 0.248 -4.858 2.515 0.408" Properties=species:S:1:pos:R:3 pbc="T T T"
Pt -2.233 -1.093 -1.124
Os -4.581 0.123 -0.927
Ru -2.495 1.292 0.209
Pt -4.835 2.503 0.406
```

Summary:
Distance to the lowest polymorph of the same formula (meV per atom): 35
E (eV/atom): -9.055
Size of the total moment (μB/atom): 0.000
E_form (meV per atom): 24

---

No. 6
Material: HoMgAg2
Method: DFT, GGA-PBEsol
State: relaxed

Geometry as extended XYZ:
```
4
Lattice="-4.567 1.627 0.055 -3.690 -3.140 0.184 -2.661 -0.381 4.035" Properties=species:S:1:pos:R:3 pbc="T T T"
Ho -5.459 -0.947 2.137
Ag -2.730 -0.473 1.069
Ag -8.189 -1.420 3.206
Mg 0.000 0.000 0.000
```

Summary:
E (eV/atom): -3.634
Size of the total moment (μB/atom): 0.000
E_form (meV per atom): -312

---

No. 7
Material: TeH2Ir
Method: DFT, GGA-PBEsol
State: relaxed

Geometry as extended XYZ:
```
8
Lattice="3.959 0.000 0.000 0.000 3.959 0.000 -1.979 -1.979 6.067" Properties=species:S:1:pos:R:3 pbc="T T T"
Te 1.979 1.979 0.000
H 0.000 0.990 1.517
Ir 0.000 0.000 0.000
H -0.990 1.979 4.550
H 0.990 1.979 4.550
Ir 0.000 1.979 3.034
H 0.000 2.969 1.517
Te 1.979 0.000 3.034
```

Summary:
E (eV/atom): -4.617
Size of the total moment (μB/atom): 0.000

---

No. 8
Material: Y2Al5Ni5
Method: DFT, GGA-PBEsol
State: relaxed

Geometry as extended XYZ:
```
36
Lattice="-2.706 0.152 -2.988 -3.199 -7.806 2.499 -9.845 7.025 9.273" Properties=species:S:1:pos:R:3 pbc="T T T"
Ni -9.646 -1.783 5.921
Y -6.512 -5.437 5.619
Ni -4.570 -0.281 4.124
Ni -6.082 -1.633 2.702
Ni -6.102 1.237 2.866
Ni -3.174 1.329 0.219
Ni -7.470 -2.747 6.624
Al -5.547 1.792 5.114
Al -1.886 -0.199 1.698
Al -8.948 4.860 8.350
Al -6.208 -4.039 2.693
Ni -3.191 -1.405 0.095
Al -7.498 1.818 6.883
Al -4.685 -0.092 1.515
Al -9.454 -4.136 5.628
Al -4.198 -5.613 3.516
Ni -9.636 0.952 6.051
Ni -12.611 -1.973 8.596
Y -9.813 1.995 8.988
Y -3.254 -2.682 2.810
Y -7.837 -0.367 4.355
Ni -12.645 0.810 8.769
Al -9.507 3.410 6.060
Al -2.254 -5.470 1.762
Al -11.108 -0.662 10.025
Y -1.397 0.005 -1.458
Ni -7.826 -3.107 4.205
Ni -11.158 4.303 7.601
Al -8.368 -0.580 7.548
Ni -0.980 -2.356 0.767
Al -2.936 -3.752 -0.255
Ni -7.862 2.442 4.521
Y -9.718 -3.119 8.641
Al -5.592 -2.467 4.938
Ni -4.565 -4.961 1.158
Al -11.132 -0.475 7.333
```

Summary:
E (eV/atom): -6.041
Size of the total moment (μB/atom): 0.000
E_form (meV per atom): -633

---

No. 9
Material: CaGd2O4
Method: DFT, GGA-PBEsol
State: relaxed

Geometry as extended XYZ:
```
28
Lattice="3.423 0.000 0.000 0.000 9.654 0.000 0.000 0.000 11.730" Properties=species:S:1:pos:R:3 pbc="T T T"
O 2.567 3.382 5.981
Gd 2.567 5.439 7.239
O 0.856 6.271 5.749
Gd 0.856 8.682 7.120
Ca 0.856 2.356 7.596
Gd 2.567 0.971 4.609
O 2.567 5.452 10.707
Gd 0.856 4.215 4.491
O 0.856 7.028 2.289
Ca 2.567 2.471 1.732
O 0.856 9.471 9.258
O 0.856 2.201 3.575
O 2.567 2.626 9.440
Ca 2.567 7.298 4.133
O 2.567 7.452 8.154
O 0.856 1.445 0.116
Gd 0.856 9.042 1.374
O 2.567 0.626 6.887
O 2.567 0.183 2.471
Gd 2.567 0.612 10.356
O 2.567 8.209 11.614
Ca 0.856 7.183 9.998
O 2.567 5.009 3.393
Gd 0.856 3.856 10.474
O 0.856 9.028 4.842
O 0.856 4.201 1.023
Gd 2.567 5.798 1.255
O 0.856 4.644 8.336
```

Summary:
E_form (uncorrected) (eV per atom): -3.300
Distance to the lowest polymorph of the same formula (meV per atom): 0
E (eV/atom): -10.733
Size of the total moment (μB/atom): 2.000

---

No. 10
Material: CaMgIr2
Method: DFT, GGA-PBEsol
State: relaxed

Geometry as extended XYZ:
```
4
Lattice="-2.396 0.233 1.689 1.844 -3.055 3.038 2.460 5.279 0.201" Properties=species:S:1:pos:R:3 pbc="T T T"
Ir -0.164 1.948 2.059
Mg 2.056 3.640 2.414
Ir 0.131 0.232 0.154
Ca 2.069 0.503 2.865
```

Summary:
E (eV/atom): -5.979
Size of the total moment (μB/atom): 0.000
E_form (meV per atom): -104

---

No. 11
Material: Os2W
Method: DFT, GGA-PBEsol
State: relaxed

Geometry as extended XYZ:
```
6
Lattice="2.754 0.000 0.000 -1.377 5.027 0.001 0.000 -1.624 6.319" Properties=species:S:1:pos:R:3 pbc="T T T"
Os 1.377 3.592 4.398
Os 0.000 -0.189 1.923
W 0.000 2.552 2.226
W 1.377 0.851 4.094
Os 0.000 2.071 6.153
Os 1.377 1.332 0.168
```

Summary:
Distance to the lowest polymorph of the same formula (meV per atom): 0
E (eV/atom): -12.741
Size of the total moment (μB/atom): 0.000
E_form (meV per atom): 5

---

No. 12
Material: AlICl6
Method: DFT, GGA-PBEsol
State: relaxed

Geometry as extended XYZ:
```
16
Lattice="-4.931 1.238 -3.350 1.519 -6.488 -2.578 -6.503 -4.644 7.856" Properties=species:S:1:pos:R:3 pbc="T T T"
Cl -1.013 -3.430 -1.191
Cl -6.637 -8.776 0.544
Cl -5.692 -6.787 3.638
Cl -2.578 -4.532 -4.032
Cl -9.140 -5.689 4.606
I -6.212 -1.176 -1.944
Cl -6.684 -3.898 6.001
Cl -7.013 -5.116 0.837
Cl -3.661 -6.266 0.808
Cl -4.721 -3.494 2.800
I -3.619 -8.659 3.771
Al -2.700 -3.035 -2.545
Al -5.171 -5.399 2.004
Cl -4.527 -3.324 -1.343
Cl -2.658 -0.675 0.635
Cl -4.737 -7.071 -2.254
```

Summary:
E_form (uncorrected) (eV per atom): -0.842
E (eV/atom): -3.081
Size of the total moment (μB/atom): 0.000

---

No. 13
Material: LaCuNi2
Method: DFT, GGA-PBEsol
State: relaxed

Geometry as extended XYZ:
```
4
Lattice="4.109 0.000 0.000 2.055 3.559 0.000 2.055 1.186 4.622" Properties=species:S:1:pos:R:3 pbc="T T T"
Ni 2.055 1.186 1.955
Ni 6.164 3.559 2.666
Cu 4.109 2.372 2.311
La 0.000 0.000 0.000
```

Summary:
E (eV/atom): -5.739
Size of the total moment (μB/atom): 0.000
E_form (meV per atom): -240

---

No. 14
Material: TaSb2W
Method: DFT, GGA-PBEsol
State: relaxed

Geometry as extended XYZ:
```
4
Lattice="3.318 0.000 0.000 0.000 4.978 0.003 -1.659 -1.504 4.594" Properties=species:S:1:pos:R:3 pbc="T T T"
Ta 1.659 2.254 0.107
Sb 1.659 3.245 4.474
Sb 1.659 0.707 2.398
W 0.000 3.231 2.216
```

Summary:
E_form (uncorrected) (eV per atom): 0.225
E (eV/atom): -8.643
Size of the total moment (μB/atom): 0.000

---

No. 15
Material: Sc2ZnCr
Method: DFT, GGA-PBEsol
State: relaxed

Geometry as extended XYZ:
```
4
Lattice="4.083 0.000 0.000 0.000 4.083 0.000 -2.041 -2.041 4.223" Properties=species:S:1:pos:R:3 pbc="T T T"
Sc 2.041 0.000 2.111
Sc 0.000 0.000 0.000
Cr 0.000 2.041 2.111
Zn 2.041 2.041 0.000
```

Summary:
E (eV/atom): -6.130
Size of the total moment (μB/atom): 0.690
E_form (meV per atom): 129

---

No. 16
Material: Al2TcCl
Method: DFT, GGA-PBEsol
State: relaxed

Geometry as extended XYZ:
```
4
Lattice="2.965 0.000 0.000 0.000 3.158 0.000 0.000 0.000 7.152" Properties=species:S:1:pos:R:3 pbc="T T T"
Cl 1.483 0.000 0.000
Tc 1.483 1.579 3.576
Al 0.000 0.000 2.174
Al 0.000 0.000 4.977
```

Summary:
E_form (uncorrected) (eV per atom): -0.419
Distance to the lowest polymorph of the same formula (meV per atom): 0
E (eV/atom): -5.784
Size of the total moment (μB/atom): 0.000

---

No. 17
Material: AgAsPt2
Method: DFT, GGA-PBEsol
State: relaxed

Geometry as extended XYZ:
```
4
Lattice="-2.349 -0.217 -2.703 3.232 0.101 -2.816 -0.205 -4.047 2.884" Properties=species:S:1:pos:R:3 pbc="T T T"
As 1.616 0.050 -1.408
Ag -1.174 -0.108 -1.352
Pt 0.547 -1.885 -2.704
Pt 0.131 -2.279 0.069
```

Summary:
E (eV/atom): -5.604
Size of the total moment (μB/atom): 0.000
E_form (meV per atom): -18

---

No. 18
Material: Y2IrBr
Method: DFT, GGA-PBEsol
State: relaxed

Geometry as extended XYZ:
```
4
Lattice="4.956 0.000 0.000 2.478 4.292 0.000 2.478 1.431 4.046" Properties=species:S:1:pos:R:3 pbc="T T T"
Br 0.000 0.000 0.000
Ir 4.956 2.861 2.023
Y 2.478 1.431 1.012
Y 7.434 4.292 3.035
```

Summary:
E_form (uncorrected) (eV per atom): -0.653
Distance to the lowest polymorph of the same formula (meV per atom): 427
E (eV/atom): -6.987
Size of the total moment (μB/atom): 0.000

---

No. 19
Material: YAgP2
Method: DFT, GGA-PBEsol
State: relaxed

Geometry as extended XYZ:
```
8
Lattice="4.610 0.000 0.000 0.000 4.610 0.000 -2.305 -2.305 7.969" Properties=species:S:1:pos:R:3 pbc="T T T"
Ag 0.000 0.000 0.000
Ag 0.000 2.305 3.984
Y 2.305 0.000 3.984
Y 2.305 2.305 0.000
P 1.153 1.527 5.977
P 0.779 3.458 1.992
P -1.153 -1.527 5.977
P 3.832 1.153 1.992
```

Summary:
E (eV/atom): -5.678
Size of the total moment (μB/atom): 0.000
E_form (meV per atom): -249

---

No. 20
Material: La3SeN
Method: DFT, GGA-PBEsol
State: relaxed

Geometry as extended XYZ:
```
5
Lattice="4.917 0.000 0.000 0.000 4.917 0.000 0.000 0.000 4.917" Properties=species:S:1:pos:R:3 pbc="T T T"
La 2.458 0.000 0.000
La 0.000 2.458 0.000
La 0.000 0.000 2.458
N 0.000 0.000 0.000
Se 2.458 2.458 2.458
```

Summary:
E_form (uncorrected) (eV per atom): -1.088
E (eV/atom): -6.771
Size of the total moment (μB/atom): 0.000